[1]
{
  "formula": "HoMgGa6",
  "functional": "PBE",
  "state": "relaxed",
  "sg": "No. 123",
  "delta_e_f_ev_per_atom": -0.30,
  "cell": [[4.234, 0.000, 0.000], [0.000, 4.234, 0.000], [0.000, 0.000, 8.434]],
  "species": ["Ho", "Mg", "Ga", "Ga", "Ga", "Ga", "Ga", "Ga"],
  "fractional_positions": [[0.000, 0.000, 0.000], [0.000, 0.000, 0.500], [0.000, 0.500, 0.259], [0.000, 0.500, 0.741], [0.500, 0.000, 0.259], [0.500, 0.000, 0.741], [0.500, 0.500, 0.000], [0.500, 0.500, 0.500]]
}

[2]
{
  "formula": "Ce2Pm3NdSe6",
  "functional": "PBE",
  "state": "relaxed",
  "e_form_raw_ev_per_atom": -1.838,
  "sg": "No. 12",
  "cell": [[3.633, -6.299, 0.000], [3.633, 6.299, 0.000], [-2.426, 0.000, 6.888]],
  "species": ["Ce", "Ce", "Pm", "Pm", "Pm", "Nd", "Se", "Se", "Se", "Se", "Se", "Se"],
  "fractional_positions": [[0.167, 0.833, 0.000], [0.833, 0.167, 0.000], [0.000, 0.000, 0.500], [0.336, 0.664, 0.500], [0.664, 0.336, 0.500], [0.500, 0.500, 0.000], [0.080, 0.416, 0.748], [0.248, 0.248, 0.250], [0.416, 0.080, 0.748], [0.584, 0.920, 0.252], [0.752, 0.752, 0.750], [0.920, 0.584, 0.252]]
}

[3]
{
  "formula": "SrZnFe3",
  "functional": "PBE",
  "state": "relaxed",
  "sg": "No. 221",
  "delta_e_f_ev_per_atom": 2.22,
  "cell": [[4.773, 0.000, 0.000], [0.000, 4.773, 0.000], [0.000, 0.000, 4.773]],
  "species": ["Sr", "Zn", "Fe", "Fe", "Fe"],
  "fractional_positions": [[0.000, 0.000, 0.000], [0.500, 0.500, 0.500], [0.000, 0.000, 0.500], [0.000, 0.500, 0.000], [0.500, 0.000, 0.000]]
}

Short version: M_tot = 0.00; 1.88; 7.22 μB/cell, in the order given.